[1]
! CaHoGa2Pt2 (PBE, relaxed); values from VASP
&SYSTEM
  ibrav = 0, nat = 6, ntyp = 4
/
ATOMIC_SPECIES
Ca 40.08 Ca.upf
Ho 164.93 Ho.upf
Ga 69.72 Ga.upf
Pt 195.08 Pt.upf
CELL_PARAMETERS angstrom
4.4250 0.0000 0.0000
-2.2125 3.8322 0.0000
0.0000 0.0000 7.3685
ATOMIC_POSITIONS angstrom
Ca 0.0000 0.0000 0.0000
Ho 0.0000 0.0000 3.6842
Ga 2.2125 1.2774 1.9585
Ga 0.0000 2.5548 5.4100
Pt 2.2125 1.2774 5.3167
Pt 0.0000 2.5548 2.0518
! **ΔH_f (0 K)**: -5.92 eV per formula unit
! **DOS(E_F)**: 2.92 states/eV per cell

[2]
! InSi2Mo (PBE, relaxed); values from VASP
&SYSTEM
  ibrav = 0, nat = 4, ntyp = 3
/
ATOMIC_SPECIES
In 114.82 In.upf
Mo 95.94 Mo.upf
Si 28.09 Si.upf
CELL_PARAMETERS angstrom
-0.8786 2.7266 3.3542
-4.3164 -0.3858 -0.8227
-0.1638 -2.6237 2.0899
ATOMIC_POSITIONS angstrom
In -0.5212 0.0514 2.7221
Mo -2.2401 -1.5048 0.6336
Si 0.0000 0.0000 0.0000
Si -2.5975 1.1704 1.2658
! **Formation energy from raw total energies**: 0.42 eV per atom
! **DOS(E_F)**: 2.66 states/eV per cell

[3]
! Li2Sn2Pd (PBE, relaxed); values from VASP
&SYSTEM
  ibrav = 0, nat = 5, ntyp = 3
/
ATOMIC_SPECIES
Sn 118.71 Sn.upf
Pd 106.42 Pd.upf
Li 6.94 Li.upf
CELL_PARAMETERS angstrom
4.8252 0.0000 0.0000
0.0000 4.8252 0.0000
0.0000 0.0000 4.2782
ATOMIC_POSITIONS angstrom
Sn 0.0000 2.4126 0.0000
Sn 2.4126 0.0000 0.0000
Pd 2.4126 2.4126 2.1391
Li 0.0000 0.0000 0.0000
Li 0.0000 0.0000 2.1391
! **ΔH_f (0 K)**: 0.65 eV per formula unit
! **DOS(E_F)**: 1.03 states/eV per cell

[4]
! NdAg2Au4 (PBE, relaxed); values from VASP
&SYSTEM
  ibrav = 0, nat = 7, ntyp = 3
/
ATOMIC_SPECIES
Au 196.97 Au.upf
Nd 144.24 Nd.upf
Ag 107.87 Ag.upf
CELL_PARAMETERS angstrom
4.7702 0.0046 2.5560
2.2143 5.1227 1.6026
-0.0265 -0.3708 5.7945
ATOMIC_POSITIONS angstrom
Au 4.6395 2.7514 8.5476
Au 2.3186 2.0052 1.4054
Au 5.5161 4.8999 6.9081
Au 1.4422 -0.1434 3.0451
Nd 0.0001 0.0000 0.0001
Ag 4.6717 2.3790 5.6150
Ag 2.2858 2.3775 4.3377
! **ΔH_f (0 K)**: -2.71 eV per formula unit
! **DOS(E_F)**: 3.28 states/eV per cell

[5]
! In2TcIr (PBE, relaxed); values from VASP
&SYSTEM
  ibrav = 0, nat = 4, ntyp = 3
/
ATOMIC_SPECIES
Ir 192.22 Ir.upf
Tc 98.00 Tc.upf
In 114.82 In.upf
CELL_PARAMETERS angstrom
0.0000 3.2560 3.2560
3.2560 0.0000 3.2560
3.2560 3.2560 0.0000
ATOMIC_POSITIONS angstrom
Ir 3.2560 3.2560 3.2560
Tc 0.0000 0.0000 0.0000
In 1.6280 1.6280 1.6280
In 4.8841 4.8841 4.8841
! **ΔH_f (0 K)**: 0.74 eV per formula unit
! **DOS(E_F)**: 4.80 states/eV per cell

[6]
! LaCeAl2Ga5 (PBE, relaxed); values from VASP
&SYSTEM
  ibrav = 0, nat = 9, ntyp = 4
/
ATOMIC_SPECIES
La 138.91 La.upf
Ce 140.12 Ce.upf
Al 26.98 Al.upf
Ga 69.72 Ga.upf
CELL_PARAMETERS angstrom
-1.7854 3.5539 -1.8050
-3.2887 -0.1958 2.8674
5.1517 5.7899 6.3040
ATOMIC_POSITIONS angstrom
La 2.5758 2.8949 3.1520
Ce 0.0000 0.0000 0.0000
Al -1.9007 2.3941 1.3098
Al 1.9783 6.7538 6.0565
Ga -0.2644 1.4530 3.1223
Ga 0.4872 3.3278 0.7861
Ga 2.1274 4.1411 6.0491
Ga 2.8790 6.0159 3.7129
Ga 0.0388 4.5740 3.6832
! **ΔH_f (0 K)**: -3.61 eV per formula unit
! **DOS(E_F)**: 8.49 states/eV per cell

[7]
! InMo2Ru (PBE, relaxed); values from VASP
&SYSTEM
  ibrav = 0, nat = 4, ntyp = 3
/
ATOMIC_SPECIES
In 114.82 In.upf
Mo 95.94 Mo.upf
Ru 101.07 Ru.upf
CELL_PARAMETERS angstrom
2.8491 0.0000 0.0000
0.0000 4.0455 0.0000
0.0000 0.0000 5.8250
ATOMIC_POSITIONS angstrom
In 1.4246 2.0227 4.3472
Mo 0.0000 0.0000 0.1799
Mo 1.4246 2.0227 1.4942
Ru 0.0000 0.0000 2.7162
! **ΔH_f (0 K)**: 1.08 eV per formula unit
! **DOS(E_F)**: 3.63 states/eV per cell

[8]
! Tb2NdDy3Tm6 (PBE, relaxed); values from VASP
&SYSTEM
  ibrav = 0, nat = 12, ntyp = 4
/
ATOMIC_SPECIES
Tb 158.93 Tb.upf
Nd 144.24 Nd.upf
Dy 162.50 Dy.upf
Tm 168.93 Tm.upf
CELL_PARAMETERS angstrom
-3.3556 -2.0682 -4.6722
-2.3700 0.1403 5.6330
-1.9960 11.2677 -2.2239
ATOMIC_POSITIONS angstrom
Tb -2.6985 -0.5959 2.1980
Tb -3.0271 -1.3321 -1.2372
Nd 0.0000 0.0000 0.0000
Dy -3.5324 5.4057 2.8019
Dy -4.1892 3.9341 -4.0649
Dy -3.8608 4.6699 -0.6315
Tm -5.9437 6.6216 -2.6650
Tm -4.8006 1.3863 0.1621
Tm -1.7779 2.7182 1.4019
Tm -5.6147 7.3587 0.7744
Tm -2.9210 7.9535 -1.4251
Tm -2.1068 1.9811 -2.0375
! **ΔH_f (0 K)**: 0.26 eV per formula unit
! **DOS(E_F)**: 15.74 states/eV per cell

[9]
! Na2SrHg4 (PBE, relaxed); values from VASP
&SYSTEM
  ibrav = 0, nat = 7, ntyp = 3
/
ATOMIC_SPECIES
Na 22.99 Na.upf
Sr 87.62 Sr.upf
Hg 200.59 Hg.upf
CELL_PARAMETERS angstrom
-5.8902 -1.7023 1.5514
-3.1338 -3.1087 -4.0538
3.5328 -3.2814 4.0928
ATOMIC_POSITIONS angstrom
Na -3.5340 -4.8232 -0.2201
Na -1.9572 -3.2692 1.8106
Sr 0.0000 0.0000 0.0000
Hg -2.2722 -6.4840 2.2282
Hg -3.2191 -1.6084 -0.6377
Hg -4.6673 -4.6699 2.8296
Hg -0.8240 -3.4225 -1.2391
! **ΔH_f (0 K)**: -2.42 eV per formula unit
! **DOS(E_F)**: 3.00 states/eV per cell

[10]
! Tb4Pr2SmEr2 (PBE, relaxed); values from VASP
&SYSTEM
  ibrav = 0, nat = 9, ntyp = 4
/
ATOMIC_SPECIES
Tb 158.93 Tb.upf
Pr 140.91 Pr.upf
Sm 150.36 Sm.upf
Er 167.26 Er.upf
CELL_PARAMETERS angstrom
6.3582 2.4745 0.8746
1.4405 9.5597 2.2530
-3.3112 -4.0467 4.1022
ATOMIC_POSITIONS angstrom
Tb 5.3062 9.4716 3.4655
Tb 3.3556 6.7468 4.3348
Tb -0.8187 -1.4841 3.7643
Tb 1.1319 1.2407 2.8951
Pr 0.6760 4.5244 4.1845
Pr 3.8115 3.4631 3.0454
Sm 0.0000 0.0000 0.0000
Er 5.7475 6.1417 1.8703
Er -1.2600 1.8459 5.3596
! **ΔH_f (0 K)**: 0.72 eV per formula unit
! **DOS(E_F)**: 13.30 states/eV per cell

[11]
! PuTlSe3 (PBE, relaxed); values from VASP
&SYSTEM
  ibrav = 0, nat = 10, ntyp = 3
/
ATOMIC_SPECIES
Pu 244.00 Pu.upf
Tl 204.38 Tl.upf
Se 78.96 Se.upf
CELL_PARAMETERS angstrom
-5.0076 -0.8500 -2.6542
3.9757 -0.6843 -7.2817
1.0417 -4.8851 5.7862
ATOMIC_POSITIONS angstrom
Pu 1.9878 -0.3422 -3.6408
Pu -2.5038 -0.4250 -1.3271
Tl -0.2250 -2.7422 1.3027
Tl 0.2348 -3.6773 -5.4524
Se 0.5932 -0.6619 -0.9072
Se 1.0131 -5.1764 -0.2536
Se -1.0033 -1.2430 -3.8961
Se -0.5834 -5.7576 -3.2425
Se 2.1486 -3.1507 -3.0447
Se -2.1388 -3.2687 -1.1049
! **Formation energy from raw total energies**: -0.67 eV per atom
! **DOS(E_F)**: 19.85 states/eV per cell

[12]
! Li8B2O7 (PBE, relaxed); values from VASP
&SYSTEM
  ibrav = 0, nat = 68, ntyp = 3
/
ATOMIC_SPECIES
Li 6.94 Li.upf
B 10.81 B.upf
O 16.00 O.upf
CELL_PARAMETERS angstrom
7.2486 0.0107 0.0000
-2.5579 8.0304 0.0000
0.0000 0.0000 9.2637
ATOMIC_POSITIONS angstrom
Li -1.5151 7.4986 4.4012
Li -1.1823 5.1397 4.1350
Li -0.5126 4.3445 6.8455
Li -0.2361 3.4834 0.2307
Li 0.0873 5.7579 8.7058
Li 0.0966 1.1244 0.4968
Li 0.5659 4.5939 2.2998
Li 0.7663 0.3293 7.0502
Li 0.8159 6.9313 4.3411
Li 1.1461 4.2749 4.6369
Li 1.3662 1.7427 5.1898
Li 1.3484 7.0446 2.1566
Li 1.8449 0.5786 2.3321
Li 2.0634 5.0118 6.7885
Li 2.0948 2.9161 0.2907
Li 2.2658 7.7814 0.0050
Li 2.4250 0.2597 9.2587
Li 2.5959 5.1250 8.9730
Li 2.6274 3.0294 2.4753
Li 2.8459 7.4625 6.9316
Li 3.3423 0.9966 7.1071
Li 3.3245 6.2985 4.0740
Li 3.5447 3.7662 4.6268
Li 3.8748 1.1098 4.9226
Li 3.9245 7.7118 2.2136
Li 4.1248 3.4473 6.9640
Li 4.5941 6.9167 8.7669
Li 4.6035 2.2832 0.5579
Li 4.9269 4.5577 9.0330
Li 5.2034 3.6966 2.4183
Li 5.8731 2.9015 5.1287
Li 6.2058 0.5425 4.8626
B -1.3379 6.2275 1.8314
B -0.0590 2.2123 2.8005
B 0.1047 6.8224 6.5845
B 1.3836 2.8072 7.3111
B 3.3071 5.2339 1.9527
B 4.5861 1.2187 2.6792
B 4.7497 5.8289 6.4633
B 6.0287 1.8136 7.4324
O -1.6447 7.4534 1.0467
O -1.2098 6.3233 7.2499
O -0.8523 5.1202 0.9864
O -0.3658 3.4382 3.5851
O -0.3903 6.5423 2.9452
O 0.0691 2.3081 6.6457
O 0.4266 1.1050 3.6455
O 0.6612 5.7352 5.7639
O 0.8886 2.5271 1.6867
O 0.9929 7.1974 7.7762
O 1.1201 4.0228 8.1812
O 1.9401 1.7200 8.1317
O 2.2718 3.1822 6.1194
O 2.2917 8.0336 3.5493
O 2.3991 0.0075 5.7144
O 2.4189 4.8590 3.1444
O 2.7506 6.3212 1.1320
O 3.5706 4.0184 1.0826
O 3.6979 0.8438 1.4875
O 3.8021 5.5141 7.5770
O 4.0295 2.3060 3.4999
O 4.2641 6.9361 5.6183
O 4.6217 5.7331 2.6180
O 5.0811 1.4988 6.3186
O 5.0565 4.6029 5.6786
O 5.5430 2.9209 8.2773
O 5.9006 1.7179 2.0138
O 6.3355 0.5877 8.2170
! **Formation energy from raw total energies**: -2.11 eV per atom
! **DOS(E_F)**: 0.00 states/eV per cell